## NbV3B (PBE)

Data for an optimized crystal structure of NbV3B.

Magnetic moment ... 0.00 μB/atom
Uncorrected energy ... -6.58 eV/atom
Energy above the lowest structure with this stoichiometry ... 10.93 eV per formula unit
Energy of formation from the pure elements ... 2240 meV/atom

Lattice parameters (Å, degrees): 4.521 4.521 4.521 90.00 90.00 90.00
Sites, in units of the cell vectors:
Nb (0.000, 0.000, 0.000)
V (0.000, 0.000, 0.500)
V (0.000, 0.500, 0.000)
V (0.500, 0.000, 0.000)
B (0.500, 0.500, 0.500)